1.
Below is CsSbTeSe3 after structural relaxation, with properties calculated at the PBE level.

a = 4.2346 Å, b = 8.9513 Å, c = 11.8334 Å
α = 103.17°, β = 90.00°, γ = 90.00°
Atoms (fractional coordinates):
Te (0.7500, 0.8974, 0.4144)
Sb (0.7500, 0.3168, 0.9149)
Se (0.2500, 0.1180, 0.9313)
Se (0.7500, 0.8820, 0.0687)
Cs (0.7500, 0.8064, 0.7554)
Se (0.2500, 0.7125, 0.3553)
Se (0.7500, 0.4680, 0.1392)
Sb (0.2500, 0.6832, 0.0851)
Cs (0.2500, 0.1936, 0.2446)
Se (0.7500, 0.2875, 0.6447)
Te (0.2500, 0.1026, 0.5856)
Se (0.2500, 0.5320, 0.8608)

**Formation energy from raw total energies**: -408 meV per atom

2.
Below is Na2H6IrRh after structural relaxation, with properties calculated at the PBE level.

a = 5.0076 Å, b = 5.0076 Å, c = 5.0301 Å
α = 60.00°, β = 60.00°, γ = 89.79°
Atoms (fractional coordinates):
H (0.7472, 0.2527, 0.0000)
H (0.7468, 0.7468, 0.5066)
H (0.2532, 0.2532, 0.4934)
Rh (0.0000, 0.0000, 0.0000)
Ir (0.5000, 0.5000, 0.0000)
H (0.7471, 0.7470, 0.9999)
Na (0.7500, 0.2500, 0.5000)
H (0.2529, 0.2530, 0.0001)
Na (0.2500, 0.7500, 0.5000)
H (0.2528, 0.7473, 0.0000)

**Energy**: -41.287 eV per cell

Summary of density of states at the Fermi level in states/eV/cell
4.8 2.9
(order as listed above)